Entry 1:
Entry from OQMD via LeMat-Bulk: a relaxed structure of ZrSe2 (PBE).

abc: 6.020 6.736 3.809
angles: 90.00 90.00 90.00
Sites, in units of the cell vectors:
Zr 0.000 0.000 0.000
Zr 0.500 0.500 0.500
Se 0.242 0.346 0.000
Se 0.258 0.846 0.500
Se 0.742 0.154 0.500
Se 0.758 0.654 0.000

Calculated values
**Symmetry**: Pnnm
**Total moment**: 0.0015 μB/atom

---

Entry 2:
Entry from OQMD via LeMat-Bulk: a relaxed structure of ZrSe2 (PBE).

abc: 3.763 6.563 13.403
angles: 90.00 90.00 90.00
Sites, in units of the cell vectors:
Zr 0.000 0.028 0.000
Zr 0.000 0.471 0.501
Zr 0.500 0.529 0.001
Zr 0.500 0.972 0.500
Se 0.000 0.139 0.621
Se 0.000 0.361 0.120
Se 0.000 0.697 0.880
Se 0.000 0.803 0.381
Se 0.500 0.197 0.881
Se 0.500 0.303 0.380
Se 0.500 0.639 0.620
Se 0.500 0.861 0.121

Calculated values
**Symmetry**: Pmn2_1
**Total moment**: 0.0002 μB/atom

---

Entry 3:
Entry from OQMD via LeMat-Bulk: a relaxed structure of ZrSe (PBE).

abc: 6.044 6.044 6.044
angles: 90.00 90.00 90.00
Sites, in units of the cell vectors:
Zr 0.000 0.000 0.000
Zr 0.000 0.500 0.500
Zr 0.500 0.000 0.500
Zr 0.500 0.500 0.000
Se 0.250 0.250 0.250
Se 0.250 0.750 0.750
Se 0.750 0.250 0.750
Se 0.750 0.750 0.250

Calculated values
**Symmetry**: F-43m
**Total moment**: 0.0741 μB/atom

---

Entry 4:
Entry from OQMD via LeMat-Bulk: a relaxed structure of ZrSe2 (PBE).

abc: 10.005 10.005 10.005
angles: 92.08 92.08 158.05
Sites, in units of the cell vectors:
Zr 0.164 0.330 0.494
Zr 0.330 0.836 0.166
Zr 0.670 0.164 0.834
Zr 0.836 0.670 0.506
Se 0.037 0.667 0.704
Se 0.308 0.645 0.952
Se 0.333 0.037 0.370
Se 0.355 0.308 0.663
Se 0.645 0.692 0.337
Se 0.667 0.963 0.630
Se 0.692 0.355 0.048
Se 0.963 0.333 0.296

Calculated values
**Symmetry**: I4/m
**Total moment**: 0.0000 μB/atom

---

Entry 5:
Entry from OQMD via LeMat-Bulk: a relaxed structure of ZrSe2 (PBE).

abc: 3.702 3.702 26.238
angles: 90.00 90.00 120.00
Sites, in units of the cell vectors:
Zr 0.000 0.000 0.000
Zr 0.000 0.000 0.250
Zr 0.000 0.000 0.750
Zr 0.333 0.667 0.500
Se 0.000 0.000 0.435
Se 0.000 0.000 0.565
Se 0.333 0.667 0.065
Se 0.333 0.667 0.935
Se 0.667 0.333 0.186
Se 0.667 0.333 0.315
Se 0.667 0.333 0.685
Se 0.667 0.333 0.814

Calculated values
**Symmetry**: P-6m2
**Total moment**: 0.0006 μB/atom

---

Entry 6:
Entry from OQMD via LeMat-Bulk: a relaxed structure of ZrSe2 (PBE).

abc: 6.653 6.653 6.653
angles: 90.00 90.00 90.00
Sites, in units of the cell vectors:
Zr 0.000 0.000 0.000
Zr 0.000 0.500 0.500
Zr 0.500 0.000 0.500
Zr 0.500 0.500 0.000
Se 0.145 0.645 0.855
Se 0.145 0.855 0.355
Se 0.355 0.145 0.855
Se 0.355 0.355 0.355
Se 0.645 0.645 0.645
Se 0.645 0.855 0.145
Se 0.855 0.145 0.645
Se 0.855 0.355 0.145

Calculated values
**Symmetry**: Pa-3
**Total moment**: 0.0011 μB/atom

---

Entry 7:
Entry from OQMD via LeMat-Bulk: a relaxed structure of Sm3Si (PBE).

abc: 7.848 9.263 6.386
angles: 90.00 90.00 90.00
Sites, in units of the cell vectors:
Sm 0.031 0.250 0.131
Sm 0.185 0.056 0.634
Sm 0.185 0.444 0.634
Sm 0.315 0.556 0.134
Sm 0.315 0.944 0.134
Sm 0.469 0.750 0.631
Sm 0.531 0.250 0.369
Sm 0.685 0.056 0.866
Sm 0.685 0.444 0.866
Sm 0.815 0.556 0.366
Sm 0.815 0.944 0.366
Sm 0.969 0.750 0.869
Si 0.120 0.750 0.432
Si 0.380 0.250 0.932
Si 0.620 0.750 0.068
Si 0.880 0.250 0.568

Calculated values
**Symmetry**: Pnma
**Total moment**: 0.0535 μB/atom

---

Entry 8:
Entry from OQMD via LeMat-Bulk: a relaxed structure of Sm3Si5 (PBE).

abc: 6.749 6.749 4.262
angles: 90.00 90.00 120.00
Sites, in units of the cell vectors:
Sm 0.000 0.652 0.000
Sm 0.348 0.348 0.000
Sm 0.652 0.000 0.000
Si 0.000 0.289 0.500
Si 0.289 0.000 0.500
Si 0.333 0.667 0.500
Si 0.667 0.333 0.500
Si 0.711 0.711 0.500

Calculated values
**Symmetry**: P-62m
**Total moment**: 0.0012 μB/atom

---

Entry 9:
Entry from OQMD via LeMat-Bulk: a relaxed structure of Sm5Si4 (PBE).

abc: 7.657 14.954 7.858
angles: 90.00 90.00 90.00
Sites, in units of the cell vectors:
Sm 0.037 0.101 0.186
Sm 0.037 0.399 0.186
Sm 0.143 0.750 0.513
Sm 0.187 0.122 0.681
Sm 0.187 0.378 0.681
Sm 0.313 0.622 0.181
Sm 0.313 0.878 0.181
Sm 0.357 0.250 0.013
Sm 0.463 0.601 0.686
Sm 0.463 0.899 0.686
Sm 0.537 0.101 0.314
Sm 0.537 0.399 0.314
Sm 0.643 0.750 0.987
Sm 0.687 0.122 0.819
Sm 0.687 0.378 0.819
Sm 0.813 0.622 0.319
Sm 0.813 0.878 0.319
Sm 0.857 0.250 0.487
Sm 0.963 0.601 0.814
Sm 0.963 0.899 0.814
Si 0.018 0.750 0.102
Si 0.138 0.541 0.474
Si 0.138 0.959 0.474
Si 0.244 0.250 0.378
Si 0.256 0.750 0.878
Si 0.362 0.041 0.974
Si 0.362 0.459 0.974
Si 0.482 0.250 0.602
Si 0.518 0.750 0.398
Si 0.638 0.541 0.026
Si 0.638 0.959 0.026
Si 0.744 0.250 0.122
Si 0.756 0.750 0.622
Si 0.862 0.041 0.526
Si 0.862 0.459 0.526
Si 0.982 0.250 0.898

Calculated values
**Symmetry**: Pnma
**Total moment**: 0.0417 μB/atom

---

Entry 10:
Entry from OQMD via LeMat-Bulk: a relaxed structure of Sm5Si2Sn (PBE).

abc: 9.032 9.032 9.032
angles: 128.63 128.63 75.60
Sites, in units of the cell vectors:
Sm 0.000 0.000 0.000
Sm 0.032 0.532 0.843
Sm 0.189 0.032 0.500
Sm 0.311 0.811 0.843
Sm 0.468 0.311 0.500
Sm 0.500 0.500 0.000
Sm 0.532 0.689 0.500
Sm 0.689 0.189 0.157
Sm 0.811 0.968 0.500
Sm 0.968 0.468 0.157
Si 0.122 0.378 0.500
Si 0.378 0.878 0.255
Si 0.622 0.122 0.745
Si 0.878 0.622 0.500
Sn 0.250 0.250 0.000
Sn 0.750 0.750 0.000

Calculated values
**Symmetry**: I4/mcm
**Total moment**: 0.1313 μB/atom

---

| no. | E (eV for the cell shown) |
| --- | --- |
| 1 | -38.213 |
| 2 | -78.057 |
| 3 | -52.924 |
| 4 | -77.337 |
| 5 | -76.377 |
| 6 | -74.399 |
| 7 | -84.253 |
| 8 | -46.689 |
| 9 | -206.695 |
| 10 | -87.428 |